The following is a PBE calculation of Nd2MgRe after structural relaxation, from Alexandria.

M_tot	0.00	μB per formula unit
E_tot	-64.37	eV/cell

a = 3.4223 Å, b = 3.4223 Å, c = 33.6423 Å
α = 90.00°, β = 90.00°, γ = 120.00°
Space group R-3m (No. 166, hexagonal axes)
One atom of each set of equivalent atoms:
Nd  0.0000  0.0000  0.1029 (multiplicity 6)
Mg  0.0000  0.0000  0.0000 (multiplicity 3)
Re  0.0000  0.0000  0.5000 (multiplicity 3)

=====

The following is a PBE calculation of LiPuTeBr after structural relaxation, from Alexandria.

formation energy from raw total energies	-1.162	eV/atom
M_tot	6.00	μB per formula unit
E_tot	-154.24	eV/cell

a = 4.4259 Å, b = 4.4259 Å, c = 42.6035 Å
α = 90.00°, β = 90.00°, γ = 120.00°
Space group R-3m (No. 166, hexagonal axes)
One atom of each set of equivalent atoms:
Li  0.0000  0.0000  0.1889 (multiplicity 6)
Pu  0.0000  0.0000  0.4105 (multiplicity 6)
Te  0.0000  0.0000  0.1221 (multiplicity 6)
Br  0.0000  0.0000  0.2931 (multiplicity 6)

=====

The following is a PBE calculation of Pr4Nd2Ho2Tm after structural relaxation, from Alexandria.

M_tot	0.00	μB per formula unit
E_tot	-84.13	eV/cell

a = 15.498 Å, b = 5.166 Å, c = 8.103 Å
α = 90.00°, β = 108.63°, γ = 90.00°
Space group C2/m (No. 12)
One atom of each set of equivalent atoms:
Pr  0.055  0.000  0.330 (multiplicity 4)
Pr  0.222  0.500  0.329 (multiplicity 4)
Nd  0.112  0.500  0.671 (multiplicity 4)
Ho  0.167  0.000  0.000 (multiplicity 4)
Tm  0.000  0.500  0.000 (multiplicity 2)

=====

The following is a PBE calculation of ZnAgP2 after structural relaxation, from Alexandria.

M_tot	0.00	μB per formula unit
E_tot	-14.25	eV/cell

a = 2.710 Å, b = 3.257 Å, c = 7.773 Å
α = 90.00°, β = 99.78°, γ = 90.00°
Space group Pm (No. 6)
One atom of each set of equivalent atoms:
Zn  0.000  0.000  0.000 (multiplicity 1)
Ag  0.383  0.500  0.764 (multiplicity 1)
P  0.132  0.500  0.267 (multiplicity 1)
P  0.233  0.000  0.473 (multiplicity 1)

=====

The following is a PBE calculation of Ho3Sc2Pb4 after structural relaxation, from Alexandria.

M_tot	0.00	μB per formula unit
E above lowest polymorph	0.00	eV per formula unit
E_tot	-89.73	eV/cell

a = 12.545 Å, b = 4.956 Å, c = 9.650 Å
α = 90.00°, β = 124.10°, γ = 90.00°
Space group C2/m (No. 12)
One atom of each set of equivalent atoms:
Ho  0.000  0.000  0.000 (multiplicity 2)
Ho  0.153  0.500  0.693 (multiplicity 4)
Sc  0.141  0.500  0.317 (multiplicity 4)
Pb  0.071  0.000  0.402 (multiplicity 4)
Pb  0.170  0.500  0.033 (multiplicity 4)

=====

The following is a PBE calculation of Na2AlBr5 after structural relaxation, from Alexandria.

formation energy from raw total energies	-1.305	eV/atom
M_tot	0.08	μB per formula unit
E above lowest polymorph	0.00	eV per formula unit
E_tot	-100.75	eV/cell

a = 11.891 Å, b = 12.477 Å, c = 8.644 Å
α = 90.00°, β = 90.00°, γ = 90.00°
Space group Pnnm (No. 58)
One atom of each set of equivalent atoms:
Na  0.000  0.000  0.219 (multiplicity 4)
Na  0.121  0.335  0.000 (multiplicity 4)
Al  0.248  0.233  0.500 (multiplicity 4)
Br  0.068  0.156  0.500 (multiplicity 4)
Br  0.120  0.118  0.000 (multiplicity 4)
Br  0.121  0.592  0.000 (multiplicity 4)
Br  0.225  0.840  0.218 (multiplicity 8)

=====

The following is a PBE calculation of SbOsC2 after structural relaxation, from Alexandria.

formation energy from raw total energies	1.095	eV/atom
M_tot	0.00	μB per formula unit
E_tot	-117.67	eV/cell

a = 5.024 Å, b = 5.024 Å, c = 9.603 Å
α = 90.00°, β = 90.00°, γ = 90.00°
Space group I-42d (No. 122)
One atom of each set of equivalent atoms:
Sb  0.000  0.000  0.000 (multiplicity 4)
Os  0.000  0.000  0.500 (multiplicity 4)
C  0.190  0.250  0.625 (multiplicity 8)

=====

The following is a PBE calculation of Sm7DyEr3 after structural relaxation, from Alexandria.

M_tot	0.11	μB per formula unit
E above lowest polymorph	1.28	eV per formula unit
E_tot	-97.34	eV/cell

a = 12.701 Å, b = 11.258 Å, c = 5.844 Å
α = 90.00°, β = 117.33°, γ = 90.00°
Space group C2/m (No. 12)
One atom of each set of equivalent atoms:
Sm  0.000  0.000  0.000 (multiplicity 2)
Sm  0.193  0.291  0.693 (multiplicity 8)
Sm  0.209  0.500  0.207 (multiplicity 4)
Dy  0.000  0.000  0.500 (multiplicity 2)
Er  0.000  0.296  0.000 (multiplicity 4)
Er  0.000  0.500  0.500 (multiplicity 2)